! PBE Y2SnP2, relaxed; values from VASP
&SYSTEM
  ibrav = 0, nat = 5, ntyp = 3
/
ATOMIC_SPECIES
Y 88.91 Y.upf
Sn 118.71 Sn.upf
P 30.97 P.upf
ATOMIC_POSITIONS crystal
Y 0.1203 0.1203 0.0000
Y 0.8797 0.8797 0.0000
Sn 0.5000 0.5000 0.0000
P 0.2500 0.7500 0.5000
P 0.7500 0.2500 0.5000
CELL_PARAMETERS angstrom
-1.8469 1.8469 8.2798
1.8469 -1.8469 8.2798
1.8469 1.8469 -8.2798
! * energy of formation from the pure elements: -0.85 eV per atom
! * space-group type: I4/mmm

! PBE YSn2P2, relaxed; values from VASP
&SYSTEM
  ibrav = 0, nat = 5, ntyp = 3
/
ATOMIC_SPECIES
Y 88.91 Y.upf
Sn 118.71 Sn.upf
P 30.97 P.upf
ATOMIC_POSITIONS crystal
Y 0.0000 0.0000 0.0000
Sn 0.2500 0.7500 0.5000
Sn 0.7500 0.2500 0.5000
P 0.4221 0.4221 0.0000
P 0.5779 0.5779 0.0000
CELL_PARAMETERS angstrom
-2.0432 2.0432 7.1390
2.0432 -2.0432 7.1390
2.0432 2.0432 -7.1390
! * energy of formation from the pure elements: -0.26 eV per atom
! * space-group type: I4/mmm

! PBE YSnP3, relaxed; values from VASP
&SYSTEM
  ibrav = 0, nat = 5, ntyp = 3
/
ATOMIC_SPECIES
Y 88.91 Y.upf
Sn 118.71 Sn.upf
P 30.97 P.upf
ATOMIC_POSITIONS crystal
Y 0.0000 0.0000 0.0000
Sn 0.5000 0.5000 0.5000
P 0.0000 0.0000 0.5000
P 0.0000 0.5000 0.0000
P 0.5000 0.0000 0.0000
CELL_PARAMETERS angstrom
5.2287 0.0000 0.0000
0.0000 5.2287 0.0000
0.0000 0.0000 5.2287
! * energy of formation from the pure elements: 0.53 eV per atom
! * space-group type: Pm-3m

! PBE YSn2P2, relaxed; values from VASP
&SYSTEM
  ibrav = 0, nat = 10, ntyp = 3
/
ATOMIC_SPECIES
Y 88.91 Y.upf
Sn 118.71 Sn.upf
P 30.97 P.upf
ATOMIC_POSITIONS crystal
Y 0.0000 0.0000 0.0000
Y 0.5000 0.5000 0.0000
Sn 0.1593 0.3407 0.5000
Sn 0.3407 0.8407 0.5000
Sn 0.6593 0.1593 0.5000
Sn 0.8407 0.6593 0.5000
P 0.1532 0.6532 0.0000
P 0.3468 0.1532 0.0000
P 0.6532 0.8468 0.0000
P 0.8468 0.3468 0.0000
CELL_PARAMETERS angstrom
7.3792 0.0000 0.0000
0.0000 7.3792 0.0000
0.0000 0.0000 4.1350
! * energy of formation from the pure elements: -0.33 eV per atom
! * space-group type: P4/mbm

! PBE Y2SnP, relaxed; values from VASP
&SYSTEM
  ibrav = 0, nat = 4, ntyp = 3
/
ATOMIC_SPECIES
Y 88.91 Y.upf
Sn 118.71 Sn.upf
P 30.97 P.upf
ATOMIC_POSITIONS crystal
Y 0.2355 0.2355 0.2355
Y 0.7645 0.7645 0.7645
Sn 0.0000 0.0000 0.0000
P 0.5000 0.5000 0.5000
CELL_PARAMETERS angstrom
1.9728 1.1390 7.7192
-1.9728 1.1390 7.7192
0.0000 -2.2780 7.7192
! * energy of formation from the pure elements: -1.15 eV per atom
! * space-group type: R-3m

! PBE Y2SnP, relaxed; values from VASP
&SYSTEM
  ibrav = 0, nat = 8, ntyp = 3
/
ATOMIC_SPECIES
Y 88.91 Y.upf
Sn 118.71 Sn.upf
P 30.97 P.upf
ATOMIC_POSITIONS crystal
Y 0.0890 0.6250 0.9640
Y 0.3750 0.3390 0.4640
Y 0.6610 0.1250 0.0360
Y 0.8750 0.9110 0.5360
Sn 0.2500 0.7500 0.5000
Sn 0.5000 0.5000 0.0000
P 0.0000 0.0000 0.0000
P 0.7500 0.2500 0.5000
CELL_PARAMETERS angstrom
-3.8995 3.8995 3.4854
3.8995 -3.8995 3.4854
3.8995 3.8995 -3.4854
! * energy of formation from the pure elements: -0.78 eV per atom
! * space-group type: I-42d

! PBE YSn2P2, relaxed; values from VASP
&SYSTEM
  ibrav = 0, nat = 5, ntyp = 3
/
ATOMIC_SPECIES
Y 88.91 Y.upf
Sn 118.71 Sn.upf
P 30.97 P.upf
ATOMIC_POSITIONS crystal
Y 0.0000 0.0000 0.0000
Sn 0.3841 0.3841 0.0000
Sn 0.6159 0.6159 0.0000
P 0.2500 0.7500 0.5000
P 0.7500 0.2500 0.5000
CELL_PARAMETERS angstrom
-1.7158 1.7158 9.5896
1.7158 -1.7158 9.5896
1.7158 1.7158 -9.5896
! * energy of formation from the pure elements: 0.02 eV per atom
! * space-group type: I4/mmm

! PBE YSnP2, relaxed; values from VASP
&SYSTEM
  ibrav = 0, nat = 8, ntyp = 3
/
ATOMIC_SPECIES
Y 88.91 Y.upf
Sn 118.71 Sn.upf
P 30.97 P.upf
ATOMIC_POSITIONS crystal
Y 0.0000 0.0000 0.0000
Y 0.7500 0.2500 0.5000
Sn 0.2500 0.7500 0.5000
Sn 0.5000 0.5000 0.0000
P 0.1360 0.6250 0.0110
P 0.3750 0.3860 0.5110
P 0.6140 0.1250 0.9890
P 0.8750 0.8640 0.4890
CELL_PARAMETERS angstrom
-3.1189 3.1189 6.1658
3.1189 -3.1189 6.1658
3.1189 3.1189 -6.1658
! * energy of formation from the pure elements: -0.42 eV per atom
! * space-group type: I-42d